1.
The following is a PBE calculation of a relaxed ErMgScRu crystal, from Alexandria via LeMat-Bulk.

- ρ: 6.45 g cm⁻³
- E_form: -360 meV/atom
- N(E_F): 0.6391 states/eV per atom
- Energy relative to the lowest polymorph listed for this composition: 0.000 eV per atom
- SG: P4mm
- Spin magnetization: 0.0 μB/cell

Lattice parameters (Å, degrees): 3.344 3.344 7.776 90.00 90.00 90.00
Atoms (fractional coordinates):
Sc 0.500 0.500 0.368
Mg 0.000 0.000 0.089
Er 0.500 0.500 0.773
Ru 0.000 0.000 0.555

***

2.
The following is a PBE calculation of a relaxed SmErMgRu crystal, from Alexandria via LeMat-Bulk.

- ρ: 8.08 g cm⁻³
- E_form: -163 meV/atom
- N(E_F): 0.9315 states/eV per atom
- Energy relative to the lowest polymorph listed for this composition: 0.093 eV per atom
- SG: F-43m
- Spin magnetization: 0.0 μB/cell

Lattice parameters (Å, degrees): 5.050 5.050 5.050 60.00 60.00 60.00
Atoms (fractional coordinates):
Sm 0.000 0.000 0.000
Er 0.500 0.500 0.500
Ru 0.750 0.750 0.750
Mg 0.250 0.250 0.250

***

3.
The following is a PBE calculation of a relaxed SmErMgRu crystal, from Alexandria via LeMat-Bulk.

- ρ: 7.43 g cm⁻³
- E_form: -257 meV/atom
- N(E_F): 0.8753 states/eV per atom
- Energy relative to the lowest polymorph listed for this composition: 0.000 eV per atom
- SG: P4mm
- Spin magnetization: 0.0 μB/cell

Lattice parameters (Å, degrees): 3.423 3.423 8.454 90.00 90.00 90.00
Atoms (fractional coordinates):
Sm 0.500 0.500 0.769
Er 0.500 0.500 0.374
Ru 0.000 0.000 0.563
Mg 0.000 0.000 0.079

***

4.
The following is a PBE calculation of a relaxed ErMgSnRu crystal, from Alexandria via LeMat-Bulk.

- ρ: 8.76 g cm⁻³
- E_form: -267 meV/atom
- N(E_F): 1.1063 states/eV per atom
- SG: F-43m
- Spin magnetization: 0.0 μB/cell

Lattice parameters (Å, degrees): 4.794 4.794 4.794 60.00 60.00 60.00
Atoms (fractional coordinates):
Ru 0.000 0.000 0.000
Sn 0.750 0.750 0.750
Er 0.250 0.250 0.250
Mg 0.500 0.500 0.500